Record 1
{"formula": "ErMn4B4", "functional": "GGA-PBE", "state": "relaxed", "cell": [[6.996, 0.000, 0.000], [0.000, 6.996, 0.000], [0.000, 0.000, 3.927]], "species": ["Er", "Er", "Mn", "Mn", "Mn", "Mn", "Mn", "Mn", "Mn", "Mn", "B", "B", "B", "B", "B", "B", "B", "B"], "fractional_positions": [[0.250, 0.250, 0.250], [0.750, 0.750, 0.750], [0.121, 0.632, 0.131], [0.132, 0.879, 0.631], [0.368, 0.621, 0.631], [0.379, 0.868, 0.131], [0.621, 0.132, 0.869], [0.632, 0.379, 0.369], [0.868, 0.121, 0.369], [0.879, 0.368, 0.869], [0.058, 0.922, 0.135], [0.078, 0.558, 0.635], [0.422, 0.942, 0.635], [0.442, 0.578, 0.135], [0.558, 0.422, 0.865], [0.578, 0.058, 0.365], [0.922, 0.442, 0.365], [0.942, 0.078, 0.865]], "spacegroup": "P4_2/n, No. 86", "e_tot_ev_per_atom": -8.0023, "density_g_cm3": 7.44, "e_form_ev_per_atom": -0.4522, "dos_ef_per_ev_atom": 0.70}

***

Record 2
{"formula": "Er8Pb3CSe3", "functional": "GGA-PBE", "state": "relaxed", "cell": [[3.933, 2.271, 7.611], [-3.933, 2.271, 7.611], [0.000, -4.542, 7.611]], "species": ["Er", "Er", "Er", "Er", "Er", "Er", "Er", "Er", "Pb", "Pb", "Pb", "C", "Se", "Se", "Se"], "fractional_positions": [[0.238, 0.238, 0.238], [0.271, 0.710, 0.710], [0.290, 0.290, 0.729], [0.290, 0.729, 0.290], [0.710, 0.271, 0.710], [0.710, 0.710, 0.271], [0.729, 0.290, 0.290], [0.762, 0.762, 0.762], [0.000, 0.500, 0.500], [0.500, 0.000, 0.500], [0.500, 0.500, 0.000], [0.500, 0.500, 0.500], [0.000, 0.000, 0.500], [0.000, 0.500, 0.000], [0.500, 0.000, 0.000]], "spacegroup": "R-3m, No. 166", "e_tot_ev_per_atom": -5.3712, "density_g_cm3": 8.99, "formation_energy_uncorrected_ev_per_atom": -0.8842, "dos_ef_per_ev_atom": 0.59}

***

Record 3
{"formula": "PbSe2O5", "functional": "GGA-PBE", "state": "relaxed", "cell": [[6.916, 0.000, 0.000], [0.000, 11.877, 0.000], [0.000, 0.000, 7.648]], "species": ["Pb", "Pb", "Pb", "Pb", "Se", "Se", "Se", "Se", "Se", "Se", "Se", "Se", "O", "O", "O", "O", "O", "O", "O", "O", "O", "O", "O", "O", "O", "O", "O", "O", "O", "O", "O", "O"], "fractional_positions": [[0.000, 0.058, 0.250], [0.000, 0.942, 0.750], [0.500, 0.442, 0.750], [0.500, 0.558, 0.250], [0.111, 0.337, 0.062], [0.111, 0.663, 0.562], [0.389, 0.163, 0.562], [0.389, 0.837, 0.062], [0.611, 0.163, 0.938], [0.611, 0.837, 0.438], [0.889, 0.337, 0.438], [0.889, 0.663, 0.938], [0.000, 0.415, 0.250], [0.000, 0.585, 0.750], [0.193, 0.078, 0.535], [0.193, 0.922, 0.035], [0.201, 0.220, 0.161], [0.201, 0.780, 0.661], [0.299, 0.280, 0.661], [0.299, 0.720, 0.161], [0.307, 0.422, 0.035], [0.307, 0.578, 0.535], [0.500, 0.085, 0.750], [0.500, 0.915, 0.250], [0.693, 0.422, 0.465], [0.693, 0.578, 0.965], [0.701, 0.280, 0.839], [0.701, 0.720, 0.339], [0.799, 0.220, 0.339], [0.799, 0.780, 0.839], [0.807, 0.078, 0.965], [0.807, 0.922, 0.465]], "de_polymorph_mev_per_atom": 4.6, "spacegroup": "Pbcn, No. 60", "e_tot_ev_per_atom": -5.3594, "density_g_cm3": 4.71, "formation_energy_uncorrected_ev_per_atom": -0.9258, "dos_ef_per_ev_atom": 0.00}

***

Record 4
{"formula": "SrPbNO2", "functional": "GGA-PBE", "state": "relaxed", "cell": [[4.323, 0.000, 0.000], [0.000, 4.323, 0.000], [0.000, 0.000, 4.258]], "species": ["Sr", "Pb", "N", "O", "O"], "fractional_positions": [[0.000, 0.000, 0.000], [0.500, 0.500, 0.500], [0.500, 0.500, 0.000], [0.000, 0.500, 0.500], [0.500, 0.000, 0.500]], "spacegroup": "P4/mmm, No. 123", "e_tot_ev_per_atom": -5.3681, "density_g_cm3": 7.11, "formation_energy_uncorrected_ev_per_atom": -0.6417, "dos_ef_per_ev_atom": 0.58}

***

Record 5
{"formula": "SbIrOs2", "functional": "GGA-PBE", "state": "relaxed", "cell": [[2.911, 0.000, 0.000], [0.000, 2.911, 0.000], [0.000, 0.000, 7.653]], "species": ["Sb", "Ir", "Os", "Os"], "fractional_positions": [[0.000, 0.000, 0.000], [0.500, 0.500, 0.261], [0.000, 0.000, 0.509], [0.500, 0.500, 0.726]], "spacegroup": "P4mm, No. 99", "e_tot_ev_per_atom": -8.4047, "density_g_cm3": 17.78, "formation_energy_uncorrected_ev_per_atom": 0.4560, "dos_ef_per_ev_atom": 1.04}

***

Record 6
{"formula": "CeCdPd2", "functional": "GGA-PBE", "state": "relaxed", "cell": [[3.446, 0.000, 0.000], [0.000, 3.446, 0.000], [0.000, 0.000, 6.770]], "species": ["Ce", "Cd", "Pd", "Pd"], "fractional_positions": [[0.000, 0.000, 0.000], [0.000, 0.000, 0.500], [0.500, 0.500, 0.272], [0.500, 0.500, 0.728]], "spacegroup": "P4/mmm, No. 123", "e_tot_ev_per_atom": -4.8473, "density_g_cm3": 9.61, "e_form_ev_per_atom": -0.5386, "dos_ef_per_ev_atom": 1.04}

***

Record 7
{"formula": "YPaTe4", "functional": "GGA-PBE", "state": "relaxed", "cell": [[7.538, 0.000, 0.000], [0.000, 7.520, 0.000], [-0.212, 0.000, 7.489]], "species": ["Y", "Y", "Pa", "Pa", "Te", "Te", "Te", "Te", "Te", "Te", "Te", "Te"], "fractional_positions": [[0.000, 0.000, 0.000], [0.000, 0.500, 0.500], [0.500, 0.000, 0.500], [0.500, 0.500, 0.000], [0.157, 0.149, 0.356], [0.157, 0.351, 0.856], [0.348, 0.657, 0.339], [0.348, 0.843, 0.839], [0.652, 0.157, 0.161], [0.652, 0.343, 0.661], [0.843, 0.649, 0.144], [0.843, 0.851, 0.644]], "de_polymorph_mev_per_atom": 181.3, "spacegroup": "P2_1/c, No. 14", "e_tot_ev_per_atom": -5.6215, "density_g_cm3": 6.50, "formation_energy_uncorrected_ev_per_atom": -0.8671}

***

Record 8
{"formula": "HIrSe3", "functional": "GGA-PBE", "state": "relaxed", "cell": [[4.217, 0.000, 0.000], [0.000, 4.217, 0.000], [0.000, 0.000, 4.217]], "species": ["H", "Ir", "Se", "Se", "Se"], "fractional_positions": [[0.000, 0.000, 0.000], [0.500, 0.500, 0.500], [0.000, 0.000, 0.500], [0.000, 0.500, 0.000], [0.500, 0.000, 0.000]], "de_polymorph_mev_per_atom": 1171.6, "spacegroup": "Pm-3m, No. 221", "e_tot_ev_per_atom": -3.4975, "density_g_cm3": 9.52, "dos_ef_per_ev_atom": 0.72}